No. 1
VASP calculation (PBE) on an optimized crystal structure of DyCd.

It has space group F-43m (No. 216), with a = 6.7480 Å, b = 6.7480 Å, c = 6.7480 Å, α = 90.00°, β = 90.00° and γ = 90.00°. The inequivalent atoms are Dy at (0.0000, 0.0000, 0.0000) and Cd at (0.2500, 0.2500, 0.2500).

For the formation energy, the calculation gives 1.4 eV per formula unit. For the total magnetization, the calculation gives 0.0 μB/f.u.

No. 2
VASP calculation (PBE) on an optimized crystal structure of DyCd7.

It has space group Cmcm (No. 63), with a = 7.3838 Å, b = 10.1927 Å, c = 9.4437 Å, α = 90.00°, β = 90.00° and γ = 90.00°. The inequivalent atoms are Dy at (0.0000, 0.0231, 0.2500), Cd at (0.0000, 0.2143, 0.5194), Cd at (0.0000, 0.4146, 0.7500), Cd at (0.2005, 0.3016, 0.2500) and Cd at (0.2078, 0.5000, 0.0000).

For the formation energy, the calculation gives -1.3 eV per formula unit. For the total magnetization, the calculation gives 0.0 μB/f.u.

No. 3
VASP calculation (PBE) on an optimized crystal structure of DyCd.

It has space group Fm-3m (No. 225), with a = 6.1569 Å, b = 6.1569 Å, c = 6.1569 Å, α = 90.00°, β = 90.00° and γ = 90.00°. The inequivalent atoms are Dy at (0.0000, 0.0000, 0.0000) and Cd at (0.0000, 0.0000, 0.5000).

For the formation energy, the calculation gives 0.1 eV per formula unit. For the total magnetization, the calculation gives 0.0 μB/f.u.

No. 4
VASP calculation (PBE) on an optimized crystal structure of Dy2ErCd5.

It has space group Amm2 (No. 38), with a = 5.0968 Å, b = 7.3852 Å, c = 10.4097 Å, α = 90.00°, β = 90.00° and γ = 90.00°. The inequivalent atoms are Dy at (0.0000, 0.0000, 0.0000), Dy at (0.5000, 0.0000, 0.2907), Er at (0.0000, 0.0000, 0.5398), Cd at (0.0000, 0.2353, 0.2666), Cd at (0.5000, 0.0000, 0.7820) and Cd at (0.5000, 0.2465, 0.0408).

For the formation energy, the calculation gives -2.4 eV per formula unit. For the total magnetization, the calculation gives 0.0 μB/f.u.

No. 5
VASP calculation (PBE) on an optimized crystal structure of DyErCd.

It has space group F-43m (No. 216), with a = 7.1774 Å, b = 7.1774 Å, c = 7.1774 Å, α = 90.00°, β = 90.00° and γ = 90.00°. The inequivalent atoms are Dy at (0.0000, 0.0000, 0.0000), Er at (0.2500, 0.2500, 0.7500) and Cd at (0.0000, 0.0000, 0.5000).

For the formation energy, the calculation gives 1.6 eV per formula unit. For the total magnetization, the calculation gives 0.0 μB/f.u.

No. 6
VASP calculation (PBE) on an optimized crystal structure of DyEr2Cd5.

It has space group Amm2 (No. 38), with a = 5.0518 Å, b = 7.4611 Å, c = 10.3159 Å, α = 90.00°, β = 90.00° and γ = 90.00°. The inequivalent atoms are Dy at (0.0000, 0.0000, 0.0000), Er at (0.0000, 0.0000, 0.5296), Er at (0.5000, 0.0000, 0.2599), Cd at (0.0000, 0.2425, 0.2658), Cd at (0.5000, 0.0000, 0.7605) and Cd at (0.5000, 0.2468, 0.5093).

For the formation energy, the calculation gives -2.3 eV per formula unit. For the total magnetization, the calculation gives 0.0 μB/f.u.